*i*
{"formula": "Mn3O2F4", "functional": "SCAN", "state": "PBEsol geometry", "cell": [[3.1803, -3.4952, 0.0000], [3.1803, 3.4952, 0.0000], [-0.0002, 0.0000, 9.2507]], "species": ["Mn", "Mn", "Mn", "Mn", "Mn", "Mn", "O", "O", "O", "O", "F", "F", "F", "F", "F", "F", "F", "F"], "fractional_positions": [[0.0000, 0.0000, 0.0000], [0.0009, 0.0009, 0.3432], [0.4663, 0.4663, 0.1688], [0.5000, 0.5000, 0.5000], [0.5337, 0.5337, 0.8312], [0.9991, 0.9991, 0.6568], [0.1732, 0.1732, 0.1716], [0.1972, 0.1972, 0.5011], [0.8028, 0.8028, 0.4989], [0.8268, 0.8268, 0.8284], [0.2193, 0.2193, 0.8243], [0.2936, 0.6841, 0.3327], [0.3025, 0.6975, 0.0000], [0.3159, 0.7064, 0.6673], [0.6841, 0.2936, 0.3327], [0.6975, 0.3025, 0.0000], [0.7064, 0.3159, 0.6673], [0.7807, 0.7807, 0.1757]], "m_tot_mub_per_fu": 13.00, "space_group": "C2/m"}

***

*ii*
{"formula": "Mn3O2F4", "functional": "SCAN", "state": "PBEsol geometry", "cell": [[4.6239, 0.0000, 0.0000], [0.2045, 5.6625, 0.0000], [0.2422, 0.3695, 7.7812]], "species": ["Mn", "Mn", "Mn", "Mn", "Mn", "Mn", "O", "O", "O", "O", "F", "F", "F", "F", "F", "F", "F", "F"], "fractional_positions": [[0.0000, 0.0000, 0.0000], [0.0030, 0.6909, 0.3679], [0.4541, 0.5457, 0.0455], [0.5023, 0.1818, 0.3531], [0.5277, 0.8636, 0.6938], [0.9834, 0.3422, 0.7008], [0.2987, 0.4753, 0.2667], [0.3102, 0.8268, 0.9126], [0.6977, 0.8988, 0.4607], [0.8127, 0.0522, 0.7907], [0.1892, 0.9761, 0.2355], [0.2021, 0.3294, 0.9318], [0.2032, 0.6470, 0.6045], [0.2880, 0.1602, 0.5806], [0.6927, 0.5403, 0.8169], [0.7052, 0.2021, 0.1190], [0.7902, 0.4026, 0.4653], [0.7942, 0.7056, 0.1317]], "m_tot_mub_per_fu": 13.00, "space_group": "P1"}

***

Most stable to least stable, the ends of the list are *i* and *ii*.

***

*i*
{"formula": "KZnCl2", "functional": "SCAN", "state": "PBEsol geometry", "cell": [[4.9781, 0.0000, 0.0000], [0.0000, 4.9781, 0.0000], [0.0000, 0.0000, 3.5318]], "species": ["K", "Zn", "Cl", "Cl"], "fractional_positions": [[0.0000, 0.0000, 0.0000], [0.5000, 0.5000, 0.0000], [0.0000, 0.5000, 0.5000], [0.5000, 0.0000, 0.5000]], "m_tot_mub_per_fu": 0.00, "space_group": "P4/mmm"}

***

*ii*
{"formula": "KZnCl2", "functional": "SCAN", "state": "PBEsol geometry", "cell": [[3.6588, 0.0000, 0.0000], [0.0000, 3.7617, 0.0000], [0.0000, 0.0000, 7.2600]], "species": ["K", "Zn", "Cl", "Cl"], "fractional_positions": [[0.0000, 0.0000, 0.0000], [0.5000, 0.0000, 0.5000], [0.5000, 0.5000, 0.2467], [0.5000, 0.5000, 0.7533]], "m_tot_mub_per_fu": 0.00, "space_group": "Pmmm"}

***

Most stable to least stable, the ends of the list are *ii* and *i*.

***

*i*
{"formula": "BeAg2As", "functional": "SCAN", "state": "PBEsol geometry", "cell": [[-1.3819, 2.0467, 5.6138], [1.3819, -2.0467, 5.6138], [1.3819, 2.0467, -5.6138]], "species": ["Be", "Ag", "Ag", "As"], "fractional_positions": [[0.0000, 0.0000, 0.0000], [0.1917, 0.6917, 0.5000], [0.5196, 0.5196, 0.0000], [0.8249, 0.3249, 0.5000]], "m_tot_mub_per_fu": 0.00, "space_group": "Imm2"}

***

*ii*
{"formula": "BeAg2As", "functional": "SCAN", "state": "PBEsol geometry", "cell": [[-1.5098, 2.2409, 4.5340], [1.5098, -2.2409, 4.5340], [1.5098, 2.2409, -4.5340]], "species": ["Be", "Ag", "Ag", "As"], "fractional_positions": [[0.0000, 0.0000, 0.0000], [0.2129, 0.7129, 0.5000], [0.7871, 0.2871, 0.5000], [0.5000, 0.5000, 0.0000]], "m_tot_mub_per_fu": 0.00, "space_group": "Immm"}

***

Most stable to least stable, the ends of the list are *i* and *ii*.

***

*i*
{"formula": "LiLa2Mg", "functional": "SCAN", "state": "PBEsol geometry", "cell": [[-4.3199, 4.3199, 3.0783], [4.3199, -4.3199, 3.0783], [4.3199, 4.3199, -3.0783]], "species": ["Li", "Li", "La", "La", "La", "La", "Mg", "Mg"], "fractional_positions": [[0.0000, 0.0000, 0.0000], [0.7500, 0.2500, 0.5000], [0.0972, 0.1250, 0.4722], [0.3750, 0.9028, 0.0278], [0.6528, 0.6250, 0.5278], [0.8750, 0.3472, 0.9722], [0.2500, 0.7500, 0.5000], [0.5000, 0.5000, 0.0000]], "m_tot_mub_per_fu": 0.41, "space_group": "I-42d"}

***

*ii*
{"formula": "LiLa2Mg", "functional": "SCAN", "state": "PBEsol geometry", "cell": [[3.5823, 0.0000, 0.0000], [0.0000, 3.5823, 0.0000], [0.0000, 0.0000, 8.5442]], "species": ["Li", "La", "La", "Mg"], "fractional_positions": [[0.0000, 0.0000, 0.0000], [0.0000, 0.0000, 0.4464], [0.5000, 0.5000, 0.7356], [0.5000, 0.5000, 0.1694]], "m_tot_mub_per_fu": 0.19, "space_group": "P4mm"}

***

Most stable to least stable, the ends of the list are *ii* and *i*.

***

*i*
{"formula": "ScWBr2", "functional": "SCAN", "state": "PBEsol geometry", "cell": [[4.6193, -1.6054, 0.0000], [4.6193, 1.6054, 0.0000], [-3.3648, 0.0000, 6.8142]], "species": ["Sc", "W", "Br", "Br"], "fractional_positions": [[0.0000, 0.0000, 0.0000], [0.7687, 0.7687, 0.1330], [0.2173, 0.2173, 0.8281], [0.3468, 0.3468, 0.4195]], "m_tot_mub_per_fu": 0.00, "space_group": "Cm"}

***

*ii*
{"formula": "ScWBr2", "functional": "SCAN", "state": "PBEsol geometry", "cell": [[6.7337, -1.6116, 0.0000], [6.7337, 1.6116, 0.0000], [-0.2575, 0.0000, 4.5422]], "species": ["Sc", "W", "Br", "Br"], "fractional_positions": [[0.0000, 0.0000, 0.0000], [0.5000, 0.5000, 0.5000], [0.3452, 0.3452, 0.7737], [0.6548, 0.6548, 0.2263]], "m_tot_mub_per_fu": 0.00, "space_group": "C2/m"}

***

Most stable to least stable, the ends of the list are *ii* and *i*.

***

*i*
{"formula": "Li5Y", "functional": "SCAN", "state": "PBEsol geometry", "cell": [[5.5586, -1.6508, 0.0000], [5.5586, 1.6508, 0.0000], [-2.4574, 0.0000, 7.0919]], "species": ["Li", "Li", "Li", "Li", "Li", "Y"], "fractional_positions": [[0.0000, 0.0000, 0.0000], [0.0188, 0.0188, 0.4538], [0.3488, 0.3488, 0.1778], [0.3677, 0.3677, 0.6326], [0.6843, 0.6843, 0.3164], [0.6837, 0.6837, 0.8160]], "m_tot_mub_per_fu": 0.04, "space_group": "Cm"}

***

*ii*
{"formula": "Li5Y", "functional": "SCAN", "state": "PBEsol geometry", "cell": [[3.5082, 0.0000, 0.0000], [0.0000, 3.5082, 0.0000], [0.0000, 0.0000, 10.4797]], "species": ["Li", "Li", "Li", "Li", "Li", "Y"], "fractional_positions": [[0.0000, 0.0000, 0.0000], [0.0000, 0.0000, 0.2992], [0.0000, 0.0000, 0.7008], [0.5000, 0.5000, 0.1595], [0.5000, 0.5000, 0.8405], [0.5000, 0.5000, 0.5000]], "m_tot_mub_per_fu": 0.36, "space_group": "P4/mmm"}

***

Most stable to least stable, the ends of the list are *ii* and *i*.

***

*i*
{"formula": "NiIr2Ru", "functional": "SCAN", "state": "PBEsol geometry", "cell": [[2.6695, 0.0000, 0.0000], [0.0000, 3.7200, 0.0000], [0.0000, 0.0000, 5.2584]], "species": ["Ni", "Ir", "Ir", "Ru"], "fractional_positions": [[0.0000, 0.0000, 0.0000], [0.0000, 0.0000, 0.4922], [0.5000, 0.5000, 0.7606], [0.5000, 0.5000, 0.2434]], "m_tot_mub_per_fu": 0.34, "space_group": "Pmm2"}

***

*ii*
{"formula": "NiIr2Ru", "functional": "SCAN", "state": "PBEsol geometry", "cell": [[-1.8607, 1.8607, 3.7727], [1.8607, -1.8607, 3.7727], [1.8607, 1.8607, -3.7727]], "species": ["Ni", "Ir", "Ir", "Ru"], "fractional_positions": [[0.0000, 0.0000, 0.0000], [0.2500, 0.7500, 0.5000], [0.7500, 0.2500, 0.5000], [0.5000, 0.5000, 0.0000]], "m_tot_mub_per_fu": 0.01, "space_group": "I4/mmm"}

***

Most stable to least stable, the ends of the list are *ii* and *i*.

***

*i*
{"formula": "ZrTaAu", "functional": "SCAN", "state": "PBEsol geometry", "cell": [[0.0000, 3.1891, 3.1891], [3.1891, 0.0000, 3.1891], [3.1891, 3.1891, 0.0000]], "species": ["Zr", "Ta", "Au"], "fractional_positions": [[0.0000, 0.0000, 0.0000], [0.2500, 0.2500, 0.2500], [0.5000, 0.5000, 0.5000]], "m_tot_mub_per_fu": 2.13, "space_group": "F-43m"}

***

*ii*
{"formula": "ZrTaAu", "functional": "SCAN", "state": "PBEsol geometry", "cell": [[0.0000, 2.0804, 6.4538], [2.0641, 0.0000, 6.4538], [2.0641, 2.0804, 0.0000]], "species": ["Zr", "Ta", "Au"], "fractional_positions": [[0.0000, 0.0000, 0.0000], [0.3278, 0.3278, 0.6722], [0.6709, 0.6709, 0.3291]], "m_tot_mub_per_fu": 0.00, "space_group": "Fmm2"}

***

Most stable to least stable, the ends of the list are *ii* and *i*.

***

*i*
{"formula": "YMg2Sc", "functional": "SCAN", "state": "PBEsol geometry", "cell": [[0.0000, 3.6783, 3.6783], [3.6783, 0.0000, 3.6783], [3.6783, 3.6783, 0.0000]], "species": ["Y", "Mg", "Mg", "Sc"], "fractional_positions": [[0.0000, 0.0000, 0.0000], [0.2500, 0.2500, 0.2500], [0.5000, 0.5000, 0.5000], [0.7500, 0.7500, 0.7500]], "m_tot_mub_per_fu": 0.00, "space_group": "F-43m"}

***

*ii*
{"formula": "YMg2Sc", "functional": "SCAN", "state": "PBEsol geometry", "cell": [[3.6566, 0.0000, 0.0000], [0.0000, 3.6566, 0.0000], [0.0000, 0.0000, 7.3571]], "species": ["Y", "Mg", "Mg", "Sc"], "fractional_positions": [[0.0000, 0.0000, 0.0000], [0.5000, 0.5000, 0.2683], [0.5000, 0.5000, 0.7317], [0.0000, 0.0000, 0.5000]], "m_tot_mub_per_fu": 0.29, "space_group": "P4/mmm"}

***

Most stable to least stable, the ends of the list are *ii* and *i*.

***

*i*
{"formula": "MoRu3", "functional": "SCAN", "state": "PBEsol geometry", "cell": [[2.7131, 0.0000, 0.0000], [-1.3566, 2.3496, 0.0000], [0.0000, 0.0000, 8.6545]], "species": ["Mo", "Ru", "Ru", "Ru"], "fractional_positions": [[0.0000, 0.0000, 0.0000], [0.0000, 0.0000, 0.5000], [0.6667, 0.3333, 0.2558], [0.6667, 0.3333, 0.7442]], "m_tot_mub_per_fu": 0.00, "space_group": "P-6m2"}

***

*ii*
{"formula": "MoRu3", "functional": "SCAN", "state": "PBEsol geometry", "cell": [[4.6946, 0.0000, 0.0000], [0.0000, 8.6651, 0.0000], [0.0000, 0.0000, 5.4262]], "species": ["Mo", "Mo", "Mo", "Mo", "Ru", "Ru", "Ru", "Ru", "Ru", "Ru", "Ru", "Ru", "Ru", "Ru", "Ru", "Ru"], "fractional_positions": [[0.0869, 0.2500, 0.1164], [0.4131, 0.7500, 0.6164], [0.5869, 0.2500, 0.3836], [0.9131, 0.7500, 0.8836], [0.0847, 0.2500, 0.6207], [0.2428, 0.5012, 0.3715], [0.2428, 0.9988, 0.3715], [0.2572, 0.0012, 0.8715], [0.2572, 0.4988, 0.8715], [0.4153, 0.7500, 0.1207], [0.5847, 0.2500, 0.8793], [0.7428, 0.5012, 0.1285], [0.7428, 0.9988, 0.1285], [0.7572, 0.0012, 0.6285], [0.7572, 0.4988, 0.6285], [0.9153, 0.7500, 0.3793]], "m_tot_mub_per_fu": 0.00, "space_group": "Pnma"}

***

Most stable to least stable, the ends of the list are *ii* and *i*.

***

*i*
{"formula": "Tl3Cd5", "functional": "SCAN", "state": "PBEsol geometry", "cell": [[4.5623, -4.6332, 0.0000], [4.5623, 4.6332, 0.0000], [0.0000, 0.0000, 4.5259]], "species": ["Tl", "Tl", "Tl", "Cd", "Cd", "Cd", "Cd", "Cd"], "fractional_positions": [[0.0000, 0.0000, 0.0000], [0.2552, 0.7448, 0.5000], [0.7448, 0.2552, 0.5000], [0.0000, 0.5000, 0.0000], [0.2568, 0.2568, 0.5000], [0.5000, 0.0000, 0.0000], [0.5000, 0.5000, 0.0000], [0.7432, 0.7432, 0.5000]], "m_tot_mub_per_fu": 0.00, "space_group": "Cmmm"}

***

*ii*
{"formula": "Tl3Cd5", "functional": "SCAN", "state": "PBEsol geometry", "cell": [[9.2322, 0.0000, 0.0000], [-4.6161, 7.9953, 0.0000], [0.0000, 0.0000, 5.4025]], "species": ["Tl", "Tl", "Tl", "Tl", "Tl", "Tl", "Cd", "Cd", "Cd", "Cd", "Cd", "Cd", "Cd", "Cd", "Cd", "Cd"], "fractional_positions": [[0.0000, 0.3903, 0.2500], [0.0000, 0.6097, 0.7500], [0.3903, 0.0000, 0.2500], [0.3903, 0.3903, 0.7500], [0.6097, 0.0000, 0.7500], [0.6097, 0.6097, 0.2500], [0.0000, 0.1977, 0.7500], [0.0000, 0.8023, 0.2500], [0.1977, 0.0000, 0.7500], [0.1977, 0.1977, 0.2500], [0.3333, 0.6667, 0.0000], [0.3333, 0.6667, 0.5000], [0.6667, 0.3333, 0.0000], [0.6667, 0.3333, 0.5000], [0.8023, 0.0000, 0.2500], [0.8023, 0.8023, 0.7500]], "m_tot_mub_per_fu": 0.00, "space_group": "P6_3/mcm"}

***

Most stable to least stable, the ends of the list are *i* and *ii*.

***

*i*
{"formula": "ZrTe2Ir", "functional": "SCAN", "state": "PBEsol geometry", "cell": [[1.9383, 1.1191, 6.8611], [-1.9383, 1.1191, 6.8611], [0.0000, -2.2382, 6.8611]], "species": ["Zr", "Te", "Te", "Ir"], "fractional_positions": [[0.0000, 0.0000, 0.0000], [0.2387, 0.2387, 0.2387], [0.7613, 0.7613, 0.7613], [0.5000, 0.5000, 0.5000]], "m_tot_mub_per_fu": 0.01, "space_group": "R-3m"}

***

*ii*
{"formula": "ZrTe2Ir", "functional": "SCAN", "state": "PBEsol geometry", "cell": [[3.6471, 0.0000, 0.0000], [0.0000, 3.6504, 0.0000], [-1.3424, 0.0000, 6.3857]], "species": ["Zr", "Te", "Te", "Ir"], "fractional_positions": [[0.0000, 0.0000, 0.0000], [0.3742, 0.5000, 0.7467], [0.6258, 0.5000, 0.2533], [0.0000, 0.0000, 0.5000]], "m_tot_mub_per_fu": 0.00, "space_group": "P2/m"}

***

Most stable to least stable, the ends of the list are *ii* and *i*.

***

*i*
{"formula": "MgMo2Pb", "functional": "SCAN", "state": "PBEsol geometry", "cell": [[3.4347, 0.0000, 0.0000], [0.0000, 4.4486, 0.0000], [0.0000, 0.0000, 4.6042]], "species": ["Mg", "Mo", "Mo", "Pb"], "fractional_positions": [[0.0000, 0.0000, 0.0000], [0.0000, 0.5000, 0.5000], [0.5000, 0.0000, 0.5000], [0.5000, 0.5000, 0.0000]], "m_tot_mub_per_fu": 0.00, "space_group": "Pmmm"}

***

*ii*
{"formula": "MgMo2Pb", "functional": "SCAN", "state": "PBEsol geometry", "cell": [[1.4962, 0.8638, 9.5012], [-1.4962, 0.8638, 9.5012], [0.0000, -1.7277, 9.5012]], "species": ["Mg", "Mo", "Mo", "Pb"], "fractional_positions": [[0.0000, 0.0000, 0.0000], [0.2500, 0.2500, 0.2500], [0.7500, 0.7500, 0.7500], [0.5000, 0.5000, 0.5000]], "m_tot_mub_per_fu": 0.00, "space_group": "R-3m"}

***

Most stable to least stable, the ends of the list are *i* and *ii*.